[1]
VASP calculation (GGA-PBE) on a geometry-optimized Ba2ZnCdI structure.

Cell: 6.570 6.318 6.570 Å, 90.00 90.00 90.00°
Positions (direct):
Ba: 0.500 0.000 0.000
Ba: 0.000 0.000 0.500
Cd: 0.000 0.500 0.000
I: 0.000 0.000 0.000
Zn: 0.500 0.500 0.500

The value obtained for the total energy is -0.056 Ha/atom. For the total moment, the calculation gives 0.0 Bohr magnetons per cell. The formation energy from raw total energies is 0.006 eV/atom.

---

[2]
VASP calculation (GGA-PBE) on a geometry-optimized Ba2Cd3In5 structure.

Cell: 4.936 4.936 12.387 Å, 90.00 90.00 90.00°
Positions (direct):
In: 0.500 0.500 0.000
In: 0.000 0.000 0.000
In: 0.500 0.000 0.859
In: 0.000 0.500 0.141
In: 0.500 0.500 0.500
Ba: 0.500 0.000 0.250
Ba: 0.000 0.500 0.750
Cd: 0.000 0.500 0.370
Cd: 0.500 0.000 0.630
Cd: 0.000 0.000 0.500

The value obtained for the total energy is -0.087 Ha/atom. For the total moment, the calculation gives 0.0 Bohr magnetons per cell.

---

[3]
VASP calculation (GGA-PBE) on a geometry-optimized BaCdIn2 structure.

Cell: 4.966 3.993 6.733 Å, 77.46 90.00 90.00°
Positions (direct):
Cd: 0.500 0.750 0.750
In: 0.000 0.578 0.552
In: 0.000 0.922 0.948
Ba: 0.500 0.250 0.250

The value obtained for the total energy is -0.085 Ha/atom. For the total moment, the calculation gives 0.0 Bohr magnetons per cell.

---

[4]
VASP calculation (GGA-PBE) on a geometry-optimized Ba2CdIn structure.

Cell: 6.032 6.032 6.032 Å, 60.00 60.00 60.00°
Positions (direct):
Cd: 0.250 0.250 0.250
Ba: 0.000 0.000 0.000
Ba: 0.500 0.500 0.500
In: 0.750 0.750 0.750

The value obtained for the total energy is -0.083 Ha/atom. For the total moment, the calculation gives 0.0 Bohr magnetons per cell.

---

[5]
VASP calculation (GGA-PBE) on a geometry-optimized BaCdIn2 structure.

Cell: 5.000 5.013 5.043 Å, 90.00 90.00 90.00°
Positions (direct):
In: 0.000 0.000 0.000
In: 0.500 0.500 0.000
Cd: 0.000 0.500 0.500
Ba: 0.500 0.000 0.500

The value obtained for the total energy is -0.084 Ha/atom. For the total moment, the calculation gives 0.0 Bohr magnetons per cell.

---

[6]
VASP calculation (GGA-PBE) on a geometry-optimized BaCdIn2 structure.

Cell: 4.934 4.934 6.883 Å, 68.96 68.97 60.00°
Positions (direct):
Ba: 0.750 0.750 0.750
Cd: 0.250 0.250 0.250
In: 0.967 0.967 0.100
In: 0.533 0.533 0.400

The value obtained for the total energy is -0.088 Ha/atom. For the total moment, the calculation gives 0.0 Bohr magnetons per cell.

---

[7]
VASP calculation (GGA-PBE) on a geometry-optimized Ba2CdIn structure.

Cell: 8.019 8.019 8.019 Å, 152.18 56.63 131.73°
Positions (direct):
In: 0.500 0.000 0.500
Ba: 0.761 0.000 0.761
Ba: 0.239 0.000 0.239
Cd: 0.000 0.000 0.000

The value obtained for the total energy is -0.056 Ha/atom. For the total moment, the calculation gives 0.0 Bohr magnetons per cell.

---

[8]
VASP calculation (GGA-PBE) on a geometry-optimized Ba3Cd3In2 structure.

Cell: 5.237 6.722 17.368 Å, 90.00 90.00 112.93°
Positions (direct):
Ba: 0.099 0.199 0.602
Ba: 0.901 0.801 0.398
Ba: 0.605 0.210 0.250
Ba: 0.099 0.199 0.898
Ba: 0.395 0.790 0.750
Ba: 0.901 0.801 0.102
In: 0.800 0.600 0.902
In: 0.200 0.400 0.402
In: 0.200 0.400 0.098
In: 0.800 0.600 0.598
Cd: 0.387 0.774 0.963
Cd: 0.311 0.623 0.250
Cd: 0.689 0.377 0.750
Cd: 0.387 0.774 0.537
Cd: 0.613 0.226 0.463
Cd: 0.613 0.226 0.037

The value obtained for the total energy is -0.078 Ha/atom. For the total moment, the calculation gives 0.0 Bohr magnetons per cell.

---

[9]
VASP calculation (GGA-PBE) on a geometry-optimized Ba2CdIn5 structure.

Cell: 5.094 9.919 10.485 Å, 90.00 90.00 104.88°
Positions (direct):
In: 0.190 0.379 0.895
In: 0.408 0.816 0.250
In: 0.352 0.705 0.975
In: 0.352 0.705 0.525
In: 0.648 0.295 0.025
In: 0.592 0.184 0.750
In: 0.810 0.621 0.105
In: 0.190 0.379 0.605
In: 0.648 0.295 0.475
In: 0.810 0.621 0.395
Ba: 0.797 0.595 0.750
Ba: 0.203 0.405 0.250
Ba: 0.000 0.000 0.000
Ba: 0.000 0.000 0.500
Cd: 0.557 0.115 0.250
Cd: 0.443 0.885 0.750

The value obtained for the total energy is -0.098 Ha/atom. For the total moment, the calculation gives 0.0 Bohr magnetons per cell.

---

[10]
VASP calculation (GGA-PBE) on a geometry-optimized Ba2Cd5In3 structure.

Cell: 4.968 4.968 12.118 Å, 90.00 90.00 90.00°
Positions (direct):
Cd: 0.000 0.500 0.128
Cd: 0.500 0.500 0.500
Cd: 0.000 0.000 0.000
Cd: 0.500 0.500 0.000
Cd: 0.500 0.000 0.872
In: 0.500 0.000 0.637
In: 0.000 0.500 0.363
In: 0.000 0.000 0.500
Ba: 0.500 0.000 0.250
Ba: 0.000 0.500 0.750

The value obtained for the total energy is -0.072 Ha/atom. For the total moment, the calculation gives 0.0 Bohr magnetons per cell.

---

[11]
VASP calculation (GGA-PBE) on a geometry-optimized Ba3Cd4In4 structure.

Cell: 5.178 7.946 9.723 Å, 114.12 105.44 90.00°
Positions (direct):
In: 0.500 0.179 0.000
In: 0.782 0.282 0.563
In: 0.218 0.718 0.437
In: 0.500 0.821 0.000
Ba: 0.864 0.864 0.728
Ba: 0.136 0.136 0.272
Ba: 0.000 0.500 0.000
Cd: 0.337 0.150 0.674
Cd: 0.663 0.850 0.326
Cd: 0.663 0.476 0.326
Cd: 0.337 0.524 0.674

The value obtained for the total energy is -0.081 Ha/atom. For the total moment, the calculation gives 0.0 Bohr magnetons per cell.

---

[12]
VASP calculation (GGA-PBE) on a geometry-optimized Ba2Cd6In3 structure.

Cell: 4.798 8.866 8.866 Å, 120.00 90.00 90.00°
Positions (direct):
Cd: 0.500 0.710 0.710
Cd: 0.500 0.290 0.000
Cd: 0.000 0.810 0.000
Cd: 0.000 0.000 0.810
Cd: 0.500 0.000 0.290
Cd: 0.000 0.190 0.190
In: 0.500 0.625 0.000
In: 0.500 0.375 0.375
In: 0.500 0.000 0.625
Ba: 0.000 0.333 0.667
Ba: 0.000 0.667 0.333

The value obtained for the total energy is -0.068 Ha/atom. For the total moment, the calculation gives 0.0 Bohr magnetons per cell.

---

[13]
VASP calculation (GGA-PBE) on a geometry-optimized Ba4CdIn structure.

Cell: 5.986 5.987 8.582 Å, 89.98 89.99 90.00°
Positions (direct):
Ba: 0.001 0.497 0.242
Ba: 0.501 0.998 0.754
Ba: 0.501 0.997 0.242
Ba: 0.001 0.497 0.754
Cd: 0.001 0.997 0.498
In: 0.501 0.497 0.998

For the distance to the lowest polymorph of the same formula, the calculation gives 104.0 meV per atom. The value obtained for the total energy is -0.076 Ha/atom. For the total moment, the calculation gives 0.0 Bohr magnetons per cell.

---

[14]
VASP calculation (GGA-PBE) on a geometry-optimized Ba2Cd6In structure.

Cell: 6.790 6.682 6.682 Å, 120.00 90.00 90.00°
Positions (direct):
Cd: 0.659 0.645 0.823
Cd: 0.659 0.178 0.355
Cd: 0.341 0.822 0.645
Cd: 0.341 0.355 0.177
Cd: 0.659 0.177 0.823
Cd: 0.341 0.823 0.177
Ba: 0.150 0.333 0.667
Ba: 0.850 0.667 0.333
In: 0.000 0.000 0.000

The value obtained for the total energy is -0.060 Ha/atom. For the total moment, the calculation gives 0.0 Bohr magnetons per cell.

---

[15]
VASP calculation (GGA-PBE) on a geometry-optimized Ba2Cd7In structure.

Cell: 4.789 4.789 12.824 Å, 90.00 90.00 90.00°
Positions (direct):
Cd: 0.500 0.000 0.137
Cd: 0.000 0.500 0.637
Cd: 0.500 0.000 0.363
Cd: 0.000 0.000 0.000
Cd: 0.000 0.000 0.500
Cd: 0.500 0.500 0.500
Cd: 0.000 0.500 0.863
Ba: 0.500 0.000 0.751
Ba: 0.000 0.500 0.249
In: 0.500 0.500 0.000

The value obtained for the total energy is -0.058 Ha/atom. For the total moment, the calculation gives 0.0 Bohr magnetons per cell.

---

[16]
VASP calculation (GGA-PBE) on a geometry-optimized Ba3Cd2In structure.

Cell: 6.034 6.034 14.758 Å, 90.00 90.00 120.00°
Positions (direct):
Ba: 0.333 0.667 0.917
Ba: 0.333 0.667 0.418
Ba: 0.000 0.000 0.749
Ba: 0.000 0.000 0.251
Ba: 0.667 0.333 0.083
Ba: 0.667 0.333 0.582
Cd: 0.000 0.000 0.500
Cd: 0.333 0.667 0.170
Cd: 0.667 0.333 0.830
Cd: 0.000 0.000 0.000
In: 0.667 0.333 0.331
In: 0.333 0.667 0.669

For the distance to the lowest polymorph of the same formula, the calculation gives 0.0 meV per atom. The value obtained for the total energy is -0.076 Ha/atom. For the total moment, the calculation gives 0.0 Bohr magnetons per cell.

---

[17]
VASP calculation (GGA-PBE) on a geometry-optimized Ba6CdIn structure.

Cell: 6.118 6.118 11.871 Å, 75.07 75.07 90.00°
Positions (direct):
Ba: 0.091 0.591 0.818
Ba: 0.591 0.091 0.818
Ba: 0.909 0.409 0.182
Ba: 0.253 0.253 0.494
Ba: 0.409 0.909 0.182
Ba: 0.747 0.747 0.506
In: 0.500 0.500 0.000
Cd: 0.000 0.000 0.000

The value obtained for the total energy is -0.077 Ha/atom. For the total moment, the calculation gives 0.0 Bohr magnetons per cell.

---

[18]
VASP calculation (GGA-PBE) on a geometry-optimized Ba2CdIn2 structure.

Cell: 4.310 4.310 10.930 Å, 78.63 78.63 90.00°
Positions (direct):
Ba: 0.400 0.400 0.200
Ba: 0.600 0.600 0.800
In: 0.750 0.250 0.500
In: 0.250 0.750 0.500
Cd: 0.000 0.000 0.000

For the distance to the lowest polymorph of the same formula, the calculation gives 200.7 meV per atom. The value obtained for the total energy is -0.082 Ha/atom. For the total moment, the calculation gives 0.0 Bohr magnetons per cell.

---

[19]
VASP calculation (GGA-PBE) on a geometry-optimized BaCd6In12 structure.

Cell: 8.616 8.616 8.616 Å, 106.32 106.32 106.32°
Positions (direct):
In: 0.500 0.109 0.891
In: 0.593 0.830 0.593
In: 0.407 0.407 0.170
In: 0.109 0.500 0.891
In: 0.891 0.109 0.500
In: 0.593 0.593 0.830
In: 0.170 0.407 0.407
In: 0.891 0.500 0.109
In: 0.500 0.891 0.109
In: 0.109 0.891 0.500
In: 0.830 0.593 0.593
In: 0.407 0.170 0.407
Cd: 0.281 0.281 0.747
Cd: 0.747 0.281 0.281
Cd: 0.719 0.253 0.719
Cd: 0.253 0.719 0.719
Cd: 0.281 0.747 0.281
Cd: 0.719 0.719 0.253
Ba: 0.000 0.000 0.000

The value obtained for the total energy is -0.078 Ha/atom. For the total moment, the calculation gives 0.0 Bohr magnetons per cell.

---

[20]
VASP calculation (GGA-PBE) on a geometry-optimized Ba4CdIn structure.

Cell: 7.331 7.331 7.331 Å, 60.00 60.00 60.00°
Positions (direct):
Ba: 0.375 0.876 0.375
Ba: 0.876 0.375 0.375
Ba: 0.375 0.375 0.375
Ba: 0.375 0.375 0.876
In: 0.000 0.000 0.000
Cd: 0.750 0.750 0.750

For the distance to the lowest polymorph of the same formula, the calculation gives 561.3 meV per atom. The value obtained for the total energy is -0.059 Ha/atom. For the total moment, the calculation gives 0.0 Bohr magnetons per cell.